# 1
18
Lattice="6.503 0.000 0.000 0.000 7.868 -4.542 0.000 0.000 9.085" Properties=species:S:1:pos:R:3 comment="GGA-PBE Tb5Pb3N, relaxed" raw_formation_energy_mev_per_atom=-807 pbc="T T T"
Tb 0.000 2.623 4.542
Tb 3.252 5.245 0.000
Tb 0.000 5.245 0.000
Tb 3.252 2.623 4.542
Tb 4.878 6.202 -3.581
Tb 4.878 1.665 0.961
Tb 4.878 0.000 7.162
Tb 1.626 1.665 -0.961
Tb 1.626 6.202 3.581
Tb 1.626 0.000 1.923
Pb 4.878 3.159 -1.824
Pb 4.878 4.708 2.718
Pb 4.878 0.000 3.648
Pb 1.626 4.708 -2.718
Pb 1.626 3.159 1.824
Pb 1.626 0.000 5.437
N 0.000 0.000 0.000
N 3.252 0.000 0.000



# 2
4
Lattice="-0.356 -0.569 -3.405 2.801 -0.087 -2.047 1.599 -9.489 -0.349" Properties=species:S:1:pos:R:3 comment="GGA-PBE NdHo2O, relaxed" raw_formation_energy_mev_per_atom=-1214 polymorph_energy_ev_per_fu=0.000 pbc="T T T"
Nd 0.000 0.000 0.000
Ho 1.316 -6.142 -0.879
Ho 2.727 -4.003 -4.922
O 2.022 -5.073 -2.901



# 3
56
Lattice="6.662 0.000 0.000 0.000 11.711 0.000 0.000 0.000 13.685" Properties=species:S:1:pos:R:3 comment="GGA-PBE Sr7CoN6, relaxed" raw_formation_energy_mev_per_atom=-441 pbc="T T T"
Sr 1.762 11.253 0.294
Sr 1.569 6.314 7.136
Sr 1.569 5.397 13.391
Sr 1.762 0.459 6.549
Sr 4.900 0.459 13.391
Sr 5.093 5.397 6.549
Sr 5.093 6.314 0.294
Sr 4.900 11.253 7.136
Sr 0.920 9.147 5.154
Sr 2.411 8.420 11.997
Sr 2.411 3.291 8.531
Sr 0.920 2.564 1.688
Sr 5.742 2.564 8.531
Sr 4.251 3.291 1.688
Sr 4.251 8.420 5.154
Sr 5.742 9.147 11.997
Sr 2.571 8.249 1.775
Sr 0.760 9.318 8.617
Sr 0.760 2.393 11.910
Sr 2.571 3.463 5.067
Sr 4.091 3.463 11.910
Sr 5.902 2.393 5.067
Sr 5.902 9.318 1.775
Sr 4.091 8.249 8.617
Sr 3.731 0.000 3.421
Sr 6.263 5.856 10.264
Sr 2.932 0.000 10.264
Sr 0.400 5.856 3.421
Co 0.478 0.000 3.421
Co 2.853 5.856 10.264
Co 6.184 0.000 10.264
Co 3.810 5.856 3.421
N 1.550 10.305 2.892
N 1.781 7.261 9.734
N 1.781 4.450 10.793
N 1.550 1.406 3.951
N 5.112 1.406 10.793
N 4.882 4.450 3.951
N 4.882 7.261 2.892
N 5.112 10.305 9.734
N 2.717 9.763 6.855
N 0.615 7.804 0.013
N 0.615 3.907 6.830
N 2.717 1.948 13.672
N 3.946 1.948 6.830
N 6.048 3.907 13.672
N 6.048 7.804 6.855
N 3.946 9.763 0.013
N 2.719 6.330 4.818
N 0.612 11.237 11.660
N 0.612 0.474 8.867
N 2.719 5.381 2.024
N 3.943 5.381 8.867
N 6.050 0.474 2.024
N 6.050 11.237 4.818
N 3.943 6.330 11.660



# 4
4
Lattice="4.888 0.000 0.000 0.000 4.579 0.000 -2.444 0.000 6.176" Properties=species:S:1:pos:R:3 comment="GGA-PBE AcPrInPb, relaxed" polymorph_energy_ev_per_fu=0.000 pbc="T T T"
Ac 2.444 2.290 4.451
Pr 0.000 0.000 1.683
In 0.000 0.000 5.170
Pb 2.444 2.290 1.049